First-principles (GGA-PBE) data for crystalline Ac3Zn7Au4 at its relaxed geometry, as listed in Alexandria via LeMat-Bulk. Values from VASP.

Output
The value obtained for the formation energy is -11.60 kcal/mol of atoms. The space group is C2/m. The calculation puts the energy at -2.957 eV/atom. The density of states at the Fermi level comes out at 0.411 states/eV/atom.

The structure in Quantum ESPRESSO input format:
```
&SYSTEM
  ibrav = 0, nat = 14, ntyp = 3
/
ATOMIC_SPECIES
Zn 65.41 Zn.upf
Ac 227.00 Ac.upf
Au 196.97 Au.upf
ATOMIC_POSITIONS angstrom
Zn 3.992 -4.512 -1.975
Zn 5.924 -6.533 -1.193
Zn 5.729 -2.748 2.167
Zn 8.471 -2.115 1.944
Zn 10.403 -4.136 2.726
Zn 8.666 -5.900 -1.416
Zn 0.000 0.000 0.000
Ac 6.722 -2.858 -1.304
Ac 2.952 -2.144 0.387
Ac 11.443 -6.504 0.364
Au 9.556 -3.830 0.139
Au 6.372 -0.491 0.861
Au 4.839 -4.818 0.611
Au 8.023 -8.157 -0.111
CELL_PARAMETERS angstrom
0.951 -2.932 3.358
4.574 -6.341 -3.737
8.871 0.625 1.129
```

***

First-principles (GGA-PBE) data for crystalline Ac2Zn5Au3 at its relaxed geometry, as listed in Alexandria via LeMat-Bulk. Values from VASP.

Output
The value obtained for the formation energy is -11.78 kcal/mol of atoms. The space group is Ibam. The calculation puts the energy at -2.953 eV/atom. The density of states at the Fermi level comes out at 0.463 states/eV/atom.

The structure in Quantum ESPRESSO input format:
```
&SYSTEM
  ibrav = 0, nat = 20, ntyp = 3
/
ATOMIC_SPECIES
Zn 65.41 Zn.upf
Ac 227.00 Ac.upf
Au 196.97 Au.upf
ATOMIC_POSITIONS angstrom
Zn 4.685 2.732 2.339
Zn 6.247 9.088 6.261
Zn 3.124 2.168 0.337
Zn 7.809 2.732 2.339
Zn 6.247 0.668 2.090
Zn 7.809 7.024 6.012
Zn 9.371 7.588 8.014
Zn 7.809 4.878 4.175
Zn 4.685 4.878 4.175
Zn 4.685 7.024 6.012
Ac 6.247 1.747 5.357
Ac 9.371 4.193 7.451
Ac 6.247 8.008 2.994
Ac 3.124 5.562 0.900
Au 1.562 0.000 0.000
Au 6.247 4.888 6.407
Au 3.124 2.671 4.510
Au 9.371 7.085 3.841
Au 4.685 0.000 0.000
Au 6.247 4.868 1.943
CELL_PARAMETERS angstrom
6.247 0.000 0.000
3.124 8.422 0.035
3.124 1.333 8.316
```

***

First-principles (GGA-PBE) data for crystalline AcZn3Au3 at its relaxed geometry, as listed in Alexandria via LeMat-Bulk. Values from VASP.

Output
The value obtained for the formation energy is -8.06 kcal/mol of atoms. The space group is R-3. The value obtained for the distance to the lowest polymorph of the same formula is 87 meV/atom. The calculation puts the energy at -2.887 eV/atom. The density of states at the Fermi level comes out at 0.350 states/eV/atom.

The structure in Quantum ESPRESSO input format:
```
&SYSTEM
  ibrav = 0, nat = 14, ntyp = 3
/
ATOMIC_SPECIES
Zn 65.41 Zn.upf
Ac 227.00 Ac.upf
Au 196.97 Au.upf
ATOMIC_POSITIONS angstrom
Zn 4.927 4.637 4.323
Zn 5.552 2.484 2.646
Zn 6.479 6.254 2.646
Zn 9.281 3.566 2.646
Zn 7.729 1.949 4.323
Zn 8.656 5.719 4.323
Ac 7.104 4.102 6.874
Ac 7.104 4.102 0.095
Au 8.975 6.131 1.705
Au 9.797 3.497 5.265
Au 4.411 4.706 1.705
Au 5.234 2.072 5.265
Au 6.281 6.736 5.265
Au 7.927 1.467 1.705
CELL_PARAMETERS angstrom
7.104 0.000 0.000
3.552 6.152 0.000
3.552 2.051 6.970
```

***

First-principles (GGA-PBE) data for crystalline Ac3Zn2Au6 at its relaxed geometry, as listed in Alexandria via LeMat-Bulk. Values from VASP.

Output
The value obtained for the formation energy is -14.87 kcal/mol of atoms. The space group is I4/mmm. The calculation puts the energy at -3.785 eV/atom. The density of states at the Fermi level comes out at 0.501 states/eV/atom.

The structure in Quantum ESPRESSO input format:
```
&SYSTEM
  ibrav = 0, nat = 11, ntyp = 3
/
ATOMIC_SPECIES
Au 196.97 Au.upf
Zn 65.41 Zn.upf
Ac 227.00 Ac.upf
ATOMIC_POSITIONS angstrom
Au -9.563 3.749 -0.029
Au -5.386 -0.447 -1.198
Au -2.747 1.012 -1.724
Au -9.897 1.455 2.331
Au -7.258 2.914 1.805
Au -3.081 -1.282 0.636
Zn -10.140 4.072 2.521
Zn -2.504 -1.604 -1.915
Ac -4.348 1.746 1.081
Ac -8.296 0.721 -0.475
Ac 0.000 0.000 0.000
CELL_PARAMETERS angstrom
-1.038 0.236 -4.556
-1.707 -4.353 0.164
-9.899 6.584 4.999
```

***

First-principles (GGA-PBE) data for crystalline Ac2ZnAu4 at its relaxed geometry, as listed in Alexandria via LeMat-Bulk. Values from VASP.

Output
The value obtained for the formation energy is -12.11 kcal/mol of atoms. The space group is I4/mmm. The calculation puts the energy at -3.754 eV/atom. The density of states at the Fermi level comes out at 0.561 states/eV/atom.

The structure in Quantum ESPRESSO input format:
```
&SYSTEM
  ibrav = 0, nat = 7, ntyp = 3
/
ATOMIC_SPECIES
Ac 227.00 Ac.upf
Au 196.97 Au.upf
Zn 65.41 Zn.upf
ATOMIC_POSITIONS angstrom
Ac -5.756 0.825 0.229
Ac -2.750 -3.045 -0.570
Au -0.235 -2.019 1.372
Au -2.650 0.380 0.105
Au -0.274 -1.347 -2.030
Au -5.856 -2.600 -0.446
Zn 0.000 0.000 0.000
CELL_PARAMETERS angstrom
-0.548 -2.695 -4.061
-0.470 -4.038 2.743
-7.488 4.513 0.977
```

***

First-principles (GGA-PBE) data for crystalline AcZnAu2 at its relaxed geometry, as listed in Alexandria via LeMat-Bulk. Values from VASP.

Output
The value obtained for the formation energy is -14.88 kcal/mol of atoms. The space group is Cmcm. The value obtained for the distance to the lowest polymorph of the same formula is 0 meV/atom. The calculation puts the energy at -3.630 eV/atom. The density of states at the Fermi level comes out at 0.583 states/eV/atom.

The structure in Quantum ESPRESSO input format:
```
&SYSTEM
  ibrav = 0, nat = 8, ntyp = 3
/
ATOMIC_SPECIES
Au 196.97 Au.upf
Ac 227.00 Ac.upf
Zn 65.41 Zn.upf
ATOMIC_POSITIONS angstrom
Au -1.864 -3.558 4.714
Au -0.461 -2.459 0.586
Au -0.053 -0.929 4.941
Au -1.457 -2.027 9.069
Ac -2.923 -1.170 2.566
Ac 1.005 -3.316 7.089
Zn -2.022 -1.697 6.561
Zn 0.105 -2.790 3.094
CELL_PARAMETERS angstrom
-4.477 -1.222 0.848
0.977 -4.109 -0.762
1.583 0.844 9.568
```

***

First-principles (GGA-PBE) data for crystalline Ac4ZnAu at its relaxed geometry, as listed in Alexandria via LeMat-Bulk. Values from VASP.

Output
The value obtained for the formation energy is -3.96 kcal/mol of atoms. The space group is P4/mmm. The value obtained for the distance to the lowest polymorph of the same formula is 152 meV/atom. The calculation puts the energy at -3.669 eV/atom. The density of states at the Fermi level comes out at 1.378 states/eV/atom.

The structure in Quantum ESPRESSO input format:
```
&SYSTEM
  ibrav = 0, nat = 6, ntyp = 3
/
ATOMIC_SPECIES
Zn 65.41 Zn.upf
Au 196.97 Au.upf
Ac 227.00 Ac.upf
ATOMIC_POSITIONS angstrom
Zn 3.086 -0.338 5.869
Au -1.665 -1.326 8.332
Ac -0.027 0.765 6.334
Ac 1.442 -2.425 7.887
Ac 1.542 -0.174 2.917
Ac 3.011 -3.364 4.469
CELL_PARAMETERS angstrom
-1.720 -5.114 0.616
4.658 -1.266 2.489
-3.124 1.871 6.798
```

***

First-principles (GGA-PBE) data for crystalline AcZn3Au2 at its relaxed geometry, as listed in Alexandria via LeMat-Bulk. Values from VASP.

Output
The value obtained for the formation energy is -10.37 kcal/mol of atoms. The space group is P6/mmm. The value obtained for the distance to the lowest polymorph of the same formula is 8 meV/atom. The calculation puts the energy at -2.864 eV/atom. The density of states at the Fermi level comes out at 0.475 states/eV/atom.

The structure in Quantum ESPRESSO input format:
```
&SYSTEM
  ibrav = 0, nat = 18, ntyp = 3
/
ATOMIC_SPECIES
Au 196.97 Au.upf
Ac 227.00 Ac.upf
Zn 65.41 Zn.upf
ATOMIC_POSITIONS angstrom
Au 2.146 5.394 5.039
Au 2.146 3.335 0.000
Au 2.146 7.061 -2.152
Au 2.146 1.667 7.191
Au 2.146 7.061 2.152
Au 2.146 1.667 2.888
Ac 0.000 5.819 0.000
Ac 2.146 0.000 0.000
Ac 0.000 2.910 5.039
Zn 0.000 6.092 3.517
Zn 0.000 0.000 3.045
Zn 2.146 4.364 -2.520
Zn 0.000 2.637 -1.522
Zn 0.000 0.000 7.034
Zn 0.000 2.637 1.522
Zn 0.000 6.092 -3.517
Zn 2.146 4.364 2.520
Zn 2.146 0.000 5.039
CELL_PARAMETERS angstrom
4.293 0.000 0.000
0.000 8.729 -5.039
0.000 0.000 10.079
```

***

First-principles (GGA-PBE) data for crystalline Ac4Zn2Au at its relaxed geometry, as listed in Alexandria via LeMat-Bulk. Values from VASP.

Output
The value obtained for the formation energy is -6.84 kcal/mol of atoms. The space group is I4/mmm. The calculation puts the energy at -3.477 eV/atom. The density of states at the Fermi level comes out at 1.001 states/eV/atom.

The structure in Quantum ESPRESSO input format:
```
&SYSTEM
  ibrav = 0, nat = 7, ntyp = 3
/
ATOMIC_SPECIES
Zn 65.41 Zn.upf
Ac 227.00 Ac.upf
Au 196.97 Au.upf
ATOMIC_POSITIONS angstrom
Zn 1.591 2.745 -2.247
Zn 3.173 0.000 2.247
Ac 1.590 2.748 1.119
Ac -0.002 0.003 3.366
Ac -1.583 2.748 -1.128
Ac 3.174 -0.003 -1.119
Au 0.000 0.000 0.000
CELL_PARAMETERS angstrom
6.349 -0.006 -2.238
-3.166 5.495 -2.256
-0.003 0.006 6.732
```

***

First-principles (GGA-PBE) data for crystalline AcZn4Au at its relaxed geometry, as listed in Alexandria via LeMat-Bulk. Values from VASP.

Output
The value obtained for the formation energy is -6.66 kcal/mol of atoms. The space group is Cmcm. The value obtained for the distance to the lowest polymorph of the same formula is 0 meV/atom. The calculation puts the energy at -2.369 eV/atom. The density of states at the Fermi level comes out at 0.563 states/eV/atom.

The structure in Quantum ESPRESSO input format:
```
&SYSTEM
  ibrav = 0, nat = 12, ntyp = 3
/
ATOMIC_SPECIES
Zn 65.41 Zn.upf
Ac 227.00 Ac.upf
Au 196.97 Au.upf
ATOMIC_POSITIONS angstrom
Zn 0.000 5.140 1.074
Zn 2.287 0.000 0.000
Zn 2.287 1.713 6.943
Zn 2.287 6.407 2.668
Zn 0.000 2.981 5.349
Zn 0.000 0.446 5.349
Zn 2.287 3.427 0.000
Zn 2.287 3.872 2.668
Ac 0.000 1.713 2.074
Ac 2.287 5.140 5.943
Au 2.287 1.713 4.361
Au 0.000 5.140 3.655
CELL_PARAMETERS angstrom
4.575 0.000 0.000
0.000 6.853 0.000
-2.287 0.000 8.017
```

***

First-principles (GGA-PBE) data for crystalline AcZn2Au at its relaxed geometry, as listed in Alexandria via LeMat-Bulk. Values from VASP.

Output
The value obtained for the formation energy is -6.97 kcal/mol of atoms. The space group is Fm-3m. The value obtained for the distance to the lowest polymorph of the same formula is 199 meV/atom. The calculation puts the energy at -2.786 eV/atom. The density of states at the Fermi level comes out at 0.529 states/eV/atom.

The structure in Quantum ESPRESSO input format:
```
&SYSTEM
  ibrav = 0, nat = 4, ntyp = 3
/
ATOMIC_SPECIES
Zn 65.41 Zn.upf
Ac 227.00 Ac.upf
Au 196.97 Au.upf
ATOMIC_POSITIONS angstrom
Zn 2.511 1.450 1.025
Zn 7.534 4.350 3.076
Ac 5.023 2.900 2.050
Au 0.000 0.000 0.000
CELL_PARAMETERS angstrom
5.023 0.000 0.000
2.511 4.350 0.000
2.511 1.450 4.101
```

***

First-principles (GGA-PBE) data for crystalline Ac2Zn5Au4 at its relaxed geometry, as listed in Alexandria via LeMat-Bulk. Values from VASP.

Output
The value obtained for the formation energy is -11.64 kcal/mol of atoms. The space group is Fmmm. The calculation puts the energy at -3.023 eV/atom. The density of states at the Fermi level comes out at 0.466 states/eV/atom.

The structure in Quantum ESPRESSO input format:
```
&SYSTEM
  ibrav = 0, nat = 11, ntyp = 3
/
ATOMIC_SPECIES
Zn 65.41 Zn.upf
Au 196.97 Au.upf
Ac 227.00 Ac.upf
ATOMIC_POSITIONS angstrom
Zn -1.960 -1.240 1.703
Zn -0.314 -5.976 2.579
Zn -3.332 -3.577 0.854
Zn -1.372 -2.336 -0.849
Zn -2.274 -7.217 4.282
Au 0.295 -7.101 4.891
Au -1.958 -9.626 5.322
Au -2.883 -6.092 1.970
Au -0.630 -3.567 1.540
Ac -2.265 -3.797 4.352
Ac 2.421 -4.724 4.207
CELL_PARAMETERS angstrom
-3.920 -2.481 3.407
-2.744 -4.672 -1.698
4.076 -6.040 5.153
```